DFT (SCAN) results for a PBEsol-optimized structure of Mn2AlAg.

a = 3.8026 Å, b = 3.8026 Å, c = 3.8499 Å
α = 90.00°, β = 90.00°, γ = 90.00°
Fractional coordinates of all 4 atoms:
Mn 0.0000 0.5000 0.0000
Mn 0.5000 0.0000 0.0000
Al 0.0000 0.0000 0.5000
Ag 0.5000 0.5000 0.5000

Values from the calculation:
VASP energy in eV per atom: -19.061
Magnetic moment in μB/f.u.: 7.2
Crystal system: tetragonal
Formation enthalpy at 0 K in kJ per mole of atoms: -14.9
Space-group type: No. 123